## Nd3Zn3Cu (GGA-PBE)

Data for a relaxed Nd3Zn3Cu crystal.

Calculated values
**N(E_F)**: 0.91 states/eV per atom
**Energy of formation from the pure elements**: -0.27 eV/atom
**Theoretical density**: 7.01 Mg/m³

```
data_Nd3Zn3Cu
_symmetry_space_group_name_H-M 'I m m 2'
_symmetry_Int_Tables_number 44
_symmetry_space_group_name_Hall 'I 2 -2'
_cell_length_a 3.6631
_cell_length_b 4.5255
_cell_length_c 19.7863
_cell_angle_alpha 90.00
_cell_angle_beta 90.00
_cell_angle_gamma 90.00
loop_
_atom_site_label
_atom_site_type_symbol
_atom_site_fract_x
_atom_site_fract_y
_atom_site_fract_z
Nd1 Nd 0.0000 0.0000 0.0000
Nd2 Nd 0.0000 0.0000 0.3788
Nd3 Nd 0.0000 0.5000 0.1947
Zn1 Zn 0.0000 0.0000 0.5552
Zn2 Zn 0.0000 0.0000 0.8271
Zn3 Zn 0.0000 0.5000 0.6279
Cu1 Cu 0.0000 0.5000 0.7566
```